VASP calculation (PBE) on a geometry-optimized Co3TcC structure.

Properties
DOS(E_F)	8.71	states/eV/cell
energy	-5.481	eV/atom
calculated volume	16.728	A^3/atom

The structure in POSCAR format:
```
Co3TcC
1.0
4.3733 0.0000 0.0000
0.0000 4.3733 0.0000
0.0000 0.0000 4.3733
C Co Tc
1 3 1
direct
0.5000 0.5000 0.5000 C
0.0000 0.5000 0.0000 Co
0.0000 0.0000 0.5000 Co
0.5000 0.0000 0.0000 Co
0.0000 0.0000 0.0000 Tc
```